No. 1
The following is a GGA-PBEsol calculation of a relaxed structure of MgZr, from Alexandria via LeMat-Bulk.

Cell: 7.099 7.099 7.099 Å, 90.00 90.00 90.00°
Space group Fd-3m (No. 227, origin choice 2)
Inequivalent atoms, fractional coordinates:
1 Mg 0.125 0.125 0.125
2 Zr 0.125 0.125 0.625

Values from the calculation:
Calculated formation energy, meV/atom: 295
Calculated volume, Å³ per atom: 22.360

---

No. 2
The following is a GGA-PBEsol calculation of a relaxed structure of MgZr3, from Alexandria via LeMat-Bulk.

Cell: 3.104 10.203 5.534 Å, 90.00 90.00 90.00°
Space group Imm2 (No. 44)
Inequivalent atoms, fractional coordinates:
1 Mg 0.000 0.000 0.000
2 Zr 0.000 0.253 0.674
3 Zr 0.000 0.500 0.019

Values from the calculation:
Calculated formation energy, meV/atom: 52
Calculated volume, Å³ per atom: 21.908

---

Number 1: magnetic moment 0.71 μB/atom. Number 2: magnetic moment 0.00 μB/atom.